Record 1
# GdEr2Ga

Crystalline GdEr2Ga at its relaxed geometry (PBE-GGA, Alexandria via LeMat-Bulk).

Calculated volume, Å³ per cell: 108.6
Density of states at the Fermi level, states/eV per atom: 1.01
E above lowest polymorph, meV/atom: 0
Formation energy from the elements, eV/f.u.: -1.126

Cell and atoms, written as CIF:
```
data_GdEr2Ga
_cell_length_a 3.509
_cell_length_b 3.509
_cell_length_c 8.820
_cell_angle_alpha 90.00
_cell_angle_beta 90.00
_cell_angle_gamma 90.00
_space_group_name_H-M_alt 'P 1'
_space_group_IT_number 1
_space_group_name_Hall 'P 1'
loop_
_atom_site_label
_atom_site_type_symbol
_atom_site_fract_x
_atom_site_fract_y
_atom_site_fract_z
_atom_site_occupancy
Gd1 Gd 0.500 0.500 0.500 1
Ga1 Ga 0.500 0.500 0.000 1
Er1 Er 0.000 0.000 0.793 1
Er2 Er 0.000 0.000 0.207 1
```

Record 2
# Pb7O16

Crystalline Pb7O16 at its relaxed geometry (PBE-GGA, Alexandria via LeMat-Bulk).

ΔE_f (raw), eV per atom: -0.48
Calculated volume, Å³ per cell: 346.7
Density of states at the Fermi level, states/eV per atom: 0.28

Cell and atoms, written as CIF:
```
data_Pb7O16
_cell_length_a 8.008
_cell_length_b 8.008
_cell_length_c 7.322
_cell_angle_alpha 67.74
_cell_angle_beta 67.74
_cell_angle_gamma 106.90
_space_group_name_H-M_alt 'P 1'
_space_group_IT_number 1
_space_group_name_Hall 'P 1'
loop_
_atom_site_label
_atom_site_type_symbol
_atom_site_fract_x
_atom_site_fract_y
_atom_site_fract_z
_atom_site_occupancy
Pb1 Pb 0.289 0.711 0.500 1
Pb2 Pb 0.787 0.698 0.500 1
Pb3 Pb 0.704 0.296 0.000 1
Pb4 Pb 0.193 0.291 0.024 1
Pb5 Pb 0.302 0.213 0.500 1
Pb6 Pb 0.196 0.804 0.000 1
Pb7 Pb 0.709 0.807 0.976 1
O1 O 0.409 0.045 0.342 1
O2 O 0.243 0.622 0.846 1
O3 O 0.859 0.169 0.153 1
O4 O 0.955 0.591 0.658 1
O5 O 0.528 0.367 0.831 1
O6 O 0.877 0.542 0.312 1
O7 O 0.831 0.141 0.847 1
O8 O 0.612 0.753 0.337 1
O9 O 0.247 0.388 0.663 1
O10 O 0.378 0.757 0.154 1
O11 O 0.099 0.957 0.189 1
O12 O 0.458 0.123 0.688 1
O13 O 0.043 0.901 0.811 1
O14 O 0.168 0.312 0.312 1
O15 O 0.688 0.832 0.688 1
O16 O 0.633 0.472 0.169 1
```

Record 3
# Er12ZnCo5

Crystalline Er12ZnCo5 at its relaxed geometry (PBE-GGA, Alexandria via LeMat-Bulk).

Calculated volume, Å³ per cell: 413.3
Density of states at the Fermi level, states/eV per atom: 1.06
Formation energy from the elements, eV/f.u.: -3.954

Cell and atoms, written as CIF:
```
data_Er12ZnCo5
_cell_length_a 8.132
_cell_length_b 8.132
_cell_length_c 8.132
_cell_angle_alpha 106.81
_cell_angle_beta 110.88
_cell_angle_gamma 110.76
_space_group_name_H-M_alt 'P 1'
_space_group_IT_number 1
_space_group_name_Hall 'P 1'
loop_
_atom_site_label
_atom_site_type_symbol
_atom_site_fract_x
_atom_site_fract_y
_atom_site_fract_z
_atom_site_occupancy
Er1 Er 0.535 0.818 0.717 1
Er2 Er 0.465 0.182 0.283 1
Er3 Er 0.899 0.182 0.717 1
Er4 Er 0.101 0.818 0.283 1
Er5 Er 0.693 0.679 0.372 1
Er6 Er 0.307 0.321 0.628 1
Er7 Er 0.307 0.679 0.987 1
Er8 Er 0.693 0.321 0.013 1
Er9 Er 0.810 0.588 0.778 1
Er10 Er 0.190 0.412 0.222 1
Er11 Er 0.190 0.967 0.778 1
Er12 Er 0.810 0.033 0.222 1
Zn1 Zn 0.000 0.500 0.500 1
Co1 Co 0.642 0.642 0.000 1
Co2 Co 0.358 0.358 0.000 1
Co3 Co 0.500 0.114 0.614 1
Co4 Co 0.500 0.886 0.386 1
Co5 Co 0.000 0.000 0.000 1
```

Record 4
# Ba4TeS2I

Crystalline Ba4TeS2I at its relaxed geometry (PBE-GGA, Alexandria via LeMat-Bulk).

ΔE_f (raw), eV per atom: -1.82
Calculated volume, Å³ per cell: 611.8
Density of states at the Fermi level, states/eV per atom: 0.41

Cell and atoms, written as CIF:
```
data_Ba4TeS2I
_cell_length_a 9.527
_cell_length_b 9.527
_cell_length_c 9.597
_cell_angle_alpha 120.24
_cell_angle_beta 120.24
_cell_angle_gamma 89.92
_space_group_name_H-M_alt 'P 1'
_space_group_IT_number 1
_space_group_name_Hall 'P 1'
loop_
_atom_site_label
_atom_site_type_symbol
_atom_site_fract_x
_atom_site_fract_y
_atom_site_fract_z
_atom_site_occupancy
Ba1 Ba 0.280 0.753 0.016 1
Ba2 Ba 0.747 0.220 0.484 1
Ba3 Ba 0.253 0.780 0.516 1
Ba4 Ba 0.720 0.247 0.984 1
Ba5 Ba 0.741 0.759 0.027 1
Ba6 Ba 0.741 0.759 0.473 1
Ba7 Ba 0.259 0.241 0.527 1
Ba8 Ba 0.259 0.241 0.973 1
Te1 Te 0.000 0.500 0.000 1
Te2 Te 0.000 0.500 0.500 1
S1 S 0.500 0.000 0.000 1
S2 S 0.500 0.000 0.500 1
S3 S 0.000 0.000 0.500 1
S4 S 0.500 0.500 0.000 1
I1 I 0.500 0.500 0.500 1
I2 I 0.000 0.000 0.000 1
```